Computed, not measured: a geometry-optimized AgPt2W structure at the PBE-GGA level of DFT.

Cell: 7.246 7.246 5.544 Å, 90.00 90.00 90.00°
Space group I-42d (No. 122)
Inequivalent atoms, fractional coordinates:
Ag 0.000 0.000 0.000 [4 per cell]
Pt 0.219 0.250 0.625 [8 per cell]
W 0.000 0.000 0.500 [4 per cell]

Results
As for the density: 15.56 g/cm3. The calculation puts the formation enthalpy at 0 K at 492 meV/atom. For the energy above the most stable polymorph in this dataset, the calculation gives 698 meV/atom.